# PuHf2Be PBE-GGA relaxed
# DFT formation energy = 57 meV per atom
# raw total energy = -9.434 eV per atom
# mass density = 13.1 g/cm3
data_PuHf2Be
_space_group_name_H-M_alt 'P 4/m m m'
_space_group_IT_number 123
_space_group_name_Hall '-P 4 2'
_cell_length_a 3.144
_cell_length_b 3.144
_cell_length_c 7.811
_cell_angle_alpha 90.00
_cell_angle_beta 90.00
_cell_angle_gamma 90.00
loop_
_atom_site_label
_atom_site_type_symbol
_atom_site_fract_x
_atom_site_fract_y
_atom_site_fract_z
Pu1 Pu 0.000 0.000 0.000
Hf1 Hf 0.500 0.500 0.296
Be1 Be 0.000 0.000 0.500

***

# PuHf2Be PBE-GGA relaxed
# DFT formation energy = 410 meV per atom
# raw total energy = -9.081 eV per atom
# mass density = 12.1 g/cm3
data_PuHf2Be
_space_group_name_H-M_alt 'R -3 m'
_space_group_IT_number 166
_space_group_name_Hall '-R 3 2"'
_cell_length_a 3.1260
_cell_length_b 3.1260
_cell_length_c 29.7728
_cell_angle_alpha 90.00
_cell_angle_beta 90.00
_cell_angle_gamma 120.00
loop_
_atom_site_label
_atom_site_type_symbol
_atom_site_fract_x
_atom_site_fract_y
_atom_site_fract_z
Pu1 Pu 0.0000 0.0000 0.0000
Hf1 Hf 0.0000 0.0000 0.1049
Be1 Be 0.0000 0.0000 0.5000